First-principles (PBE) data for TaCuO2F after structural relaxation, as listed in Alexandria via LeMat-Bulk.

Values from the calculation:
Formation energy from raw total energies (eV per formula unit): -1.80
Mass density (g/cm³): 8.8
D(E_F) (states/eV/cell): 4.1

```
data_TaCuO2F
_chemical_formula_sum 'Ta1 Cu1 O2 F1'
_cell_length_a 3.8974
_cell_length_b 3.8974
_cell_length_c 3.6898
_cell_angle_alpha 90.00
_cell_angle_beta 90.00
_cell_angle_gamma 90.00
_space_group_name_H-M_alt 'P 1'
_space_group_IT_number 1
_space_group_name_Hall 'P 1'
loop_
_atom_site_label
_atom_site_fract_x
_atom_site_fract_y
_atom_site_fract_z
Cu1 0.0000 0.0000 0.0000
F1 0.0000 0.0000 0.5000
O1 0.0000 0.5000 0.0000
Ta1 0.5000 0.5000 0.5000
O2 0.5000 0.0000 0.0000
```